# Ho4NpN5 | Alexandria | PBE | relaxed
data_Ho4NpN5
_space_group_name_H-M_alt 'I 4/m'
_space_group_IT_number 87
_space_group_name_Hall '-I 4'
_cell_length_a 7.683
_cell_length_b 7.683
_cell_length_c 4.876
_cell_angle_alpha 90.00
_cell_angle_beta 90.00
_cell_angle_gamma 90.00
loop_
_atom_site_label
_atom_site_fract_x
_atom_site_fract_y
_atom_site_fract_z
Ho1 0.099 0.301 0.000
Np1 0.000 0.000 0.500
N1 0.000 0.000 0.000
N2 0.094 0.288 0.500
# - formation energy (no corrections) (eV per atom) = -1.6207
# - DFT total energy (eV/atom) = -8.909


# BaSiPb2 | Alexandria | PBE | relaxed
data_BaSiPb2
_space_group_name_H-M_alt 'P 1 2/m 1'
_space_group_IT_number 10
_space_group_name_Hall '-P 2y'
_cell_length_a 5.821
_cell_length_b 3.705
_cell_length_c 6.133
_cell_angle_alpha 90.00
_cell_angle_beta 108.05
_cell_angle_gamma 90.00
loop_
_atom_site_label
_atom_site_fract_x
_atom_site_fract_y
_atom_site_fract_z
Ba1 0.000 0.000 0.000
Si1 0.500 0.500 0.000
Pb1 0.000 0.500 0.500
Pb2 0.500 0.000 0.500
# - formation energy (no corrections) (eV per atom) = 0.0688
# - DFT total energy (eV/atom) = -3.622


# NaCu6O8 | Alexandria | PBE | relaxed
data_NaCu6O8
_space_group_name_H-M_alt 'F m -3 m'
_space_group_IT_number 225
_space_group_name_Hall '-F 4 2 3'
_cell_length_a 9.150
_cell_length_b 9.150
_cell_length_c 9.150
_cell_angle_alpha 90.00
_cell_angle_beta 90.00
_cell_angle_gamma 90.00
loop_
_atom_site_label
_atom_site_fract_x
_atom_site_fract_y
_atom_site_fract_z
Na1 0.000 0.000 0.000
Cu1 0.000 0.250 0.250
O1 0.145 0.145 0.145
# - formation energy (no corrections) (eV per atom) = -0.6278
# - DFT total energy (eV/atom) = -4.999